Material: Be2TlVF8
Method: DFT, PBE with a Hubbard U
State: relaxed

Cell and atoms, written as POSCAR:
```
Be2TlVF8
1.0
4.942 0.000 0.000
2.471 4.280 0.000
2.471 1.427 8.187
Be Tl V F
2 1 1 8
Direct
0.262 0.262 0.213 Be
0.738 0.738 0.787 Be
0.500 0.500 0.500 Tl
0.000 0.000 0.000 V
0.201 0.201 0.397 F
0.605 0.242 0.143 F
0.799 0.799 0.603 F
0.011 0.605 0.143 F
0.989 0.395 0.857 F
0.242 0.011 0.143 F
0.758 0.989 0.857 F
0.395 0.758 0.857 F
```

## Properties
The electronic total energy comes out at -5.597 eV per atom.